Below is a geometry-optimized Li2AgMoO4 structure, with properties calculated at the PBE with a Hubbard U level.

Output
- M_tot: 2.00 Bohr magnetons per cell
- Total DFT energy (no corrections): -5.658 eV per atom

a = 5.1533 Å, b = 5.1533 Å, c = 7.9631 Å
α = 90.00°, β = 90.00°, γ = 90.00°
Last column: nearest neighbours and their distance in Å.
Space group I-42m (No. 121)
One atom of each set of equivalent atoms:
Li 0.0000 0.5000 0.2500 (multiplicity 4)  4 O 2.07
Ag 0.0000 0.0000 0.0000 (multiplicity 2)  4 O 2.34
Mo 0.0000 0.0000 0.5000 (multiplicity 2)  4 O 1.87
O 0.2134 0.2134 0.6313 (multiplicity 8)  1 Mo 1.87, 2 Li 2.07